Ga2HgSbPt: optimized geometry, GGA-PBE.

Cell: 5.4698 4.9782 5.4698 Å, 90.00 90.00 90.00°
Last column: nearest neighbours and their distance in Å.
Element x y z (fractional)
Sb  0.0000  0.0000  0.0000  2 Pt 2.49, 4 Ga 2.73
Hg  0.5000  0.5000  0.5000  8 Ga 3.70, 4 Pt 3.87
Pt  0.0000  0.5000  0.0000  2 Sb 2.49
Ga  0.0000  0.0000  0.5000  2 Sb 2.73
Ga  0.5000  0.0000  0.0000  2 Sb 2.73

Total magnetic moment in μB/f.u.: 0.00
SG: P4/mmm (123)
D(E_F) in states/eV/f.u.: 1.808
Raw total energy in eV/atom: -2.88